Entry 1:
VASP calculation (PBE) on an optimized crystal structure of Ho3In3Cu2Pt.

Cell: 7.4875 7.4875 3.9661 Å, 90.00 90.00 120.00°
Last column: nearest neighbours and their distance in Å.
Fractional positions:
Cu 0.6667 0.3333 0.0000  3 In 2.79, 6 Ho 3.02
Cu 0.3333 0.6667 0.0000  3 In 2.79, 6 Ho 3.02
Ho 0.5963 0.0000 0.5000  4 Cu 3.02, 1 Pt 3.02, 6 In 3.18-3.32
Ho 0.4037 0.4037 0.5000  4 Cu 3.02, 1 Pt 3.02, 6 In 3.18-3.32
Ho 0.0000 0.5963 0.5000  4 Cu 3.02, 1 Pt 3.02, 6 In 3.18-3.32
In 0.2643 0.0000 0.0000  2 Cu 2.79, 2 Pt 2.80
In 0.0000 0.2643 0.0000  2 Cu 2.79, 2 Pt 2.80
In 0.7357 0.7357 0.0000  2 Cu 2.79, 2 Pt 2.80
Pt 0.0000 0.0000 0.5000  6 In 2.80, 3 Ho 3.02

Properties
The value obtained for the total moment is 0.00 μB per atom. The calculation puts the total energy at -40.656 eV for the cell shown.

Entry 2:
VASP calculation (PBE) on an optimized crystal structure of NdAgNO.

Cell: 5.0742 5.0742 4.6434 Å, 90.00 90.00 90.00°
Last column: nearest neighbours and their distance in Å.
Fractional positions:
Ag 0.7500 0.7500 0.0005  2 N 2.32, 4 O 2.54
Ag 0.2500 0.2500 0.9995  2 N 2.32, 4 O 2.54
N 0.2500 0.2500 0.4993  2 Ag 2.32, 4 Nd 2.54
N 0.7500 0.7500 0.5007  2 Ag 2.32, 4 Nd 2.54
Nd 0.7500 0.2500 0.5000  2 O 2.32, 4 N 2.54
Nd 0.2500 0.7500 0.5000  2 O 2.32, 4 N 2.54
O 0.7500 0.2500 0.0000  2 Nd 2.32, 4 Ag 2.54
O 0.2500 0.7500 0.0000  2 Nd 2.32, 4 Ag 2.54

Properties
The value obtained for the total moment is 0.00 μB per atom. The calculation puts the total energy at -48.999 eV for the cell shown. The excess energy over the best structure of this formula in the dataset is 25 meV/atom.

Entry 3:
VASP calculation (PBE) on an optimized crystal structure of GdHo2Cu4Sn2Ge2.

Cell: 8.2832 8.2832 8.2832 Å, 149.67 132.11 57.74°
Last column: nearest neighbours and their distance in Å.
Fractional positions:
Cu 0.6504 0.3408 0.3096  1 Ge 2.45, 1 Cu 2.56, 3 Sn 2.66-2.73
Cu 0.9687 0.6592 0.3096  1 Ge 2.45, 1 Cu 2.56, 3 Sn 2.66-2.73
Cu 0.3496 0.6592 0.6904  1 Ge 2.45, 1 Cu 2.56, 3 Sn 2.66-2.73
Cu 0.0313 0.3408 0.6904  1 Ge 2.45, 1 Cu 2.56, 3 Sn 2.66-2.73
Gd 0.0000 0.0000 0.0000  4 Ge 3.01, 2 Sn 3.17
Ge 0.6899 0.5000 0.1899  2 Cu 2.45, 1 Ge 2.55
Ge 0.3101 0.5000 0.8101  2 Cu 2.45, 1 Ge 2.55
Ho 0.6241 0.1241 0.5000  6 Cu 3.05-3.39, 4 Ge 3.09, 2 Sn 3.14
Ho 0.3759 0.8759 0.5000  6 Cu 3.05-3.39, 4 Ge 3.09, 2 Sn 3.14
Sn 0.2188 0.2188 0.0000  6 Cu 2.66-2.73
Sn 0.7812 0.7812 0.0000  6 Cu 2.66-2.73

Properties
The value obtained for the total moment is 0.00 μB per atom. The calculation puts the total energy at -52.445 eV for the cell shown. The excess energy over the best structure of this formula in the dataset is 0 meV/atom.

Entry 4:
VASP calculation (PBE) on an optimized crystal structure of Tb6HgPd2.

Cell: 8.5651 8.5651 8.5651 Å, 112.97 110.06 105.47°
Last column: nearest neighbours and their distance in Å.
Fractional positions:
Hg 0.0000 0.0000 0.0000  8 Tb 3.13-3.25, 2 Pd 3.40
Hg 0.5000 0.5000 0.0000  8 Tb 3.32-3.35
Pd 0.3461 0.0000 0.3461  8 Tb 2.89-3.17, 1 Pd 3.02
Pd 0.8670 0.3670 0.5000  1 Pd 2.76, 6 Tb 2.77-3.02
Pd 0.1330 0.6330 0.5000  1 Pd 2.76, 6 Tb 2.77-3.02
Pd 0.6539 0.0000 0.6539  8 Tb 2.89-3.17, 1 Pd 3.02
Tb 0.8189 0.2877 0.1066  3 Pd 3.02-3.17, 1 Hg 3.25
Tb 0.4333 0.2386 0.1947  1 Pd 2.89, 1 Hg 3.13
Tb 0.9561 0.7614 0.1947  1 Pd 2.89, 1 Hg 3.13
Tb 0.3282 0.6284 0.3002  3 Pd 2.77-3.01
Tb 0.6718 0.9719 0.3002  3 Pd 2.77-3.01
Tb 0.1811 0.2877 0.4688  3 Pd 3.02-3.17, 1 Hg 3.25
Tb 0.8189 0.7123 0.5312  3 Pd 3.02-3.17, 1 Hg 3.25
Tb 0.3282 0.0281 0.6998  3 Pd 2.77-3.01
Tb 0.6718 0.3716 0.6998  3 Pd 2.77-3.01
Tb 0.0439 0.2386 0.8053  1 Pd 2.89, 1 Hg 3.13
Tb 0.5667 0.7614 0.8053  1 Pd 2.89, 1 Hg 3.13
Tb 0.1811 0.7123 0.8934  3 Pd 3.02-3.17, 1 Hg 3.25

Properties
The value obtained for the total moment is 0.00 μB per atom. The calculation puts the total energy at -86.280 eV for the cell shown.